[1]
An optimized crystal structure of Tb2Er3Tl2. Source: the Alexandria database, functional GGA-PBE.

a = 5.3810 Å, b = 5.3782 Å, c = 8.6097 Å
α = 108.24°, β = 90.00°, γ = 120.02°
Element x y z (fractional)
Er: 0.3464 0.6929 0.5394
Er: 0.5000 0.0000 0.0000
Er: 0.6536 0.3071 0.4606
Tl: 0.7835 0.5670 0.8501
Tl: 0.2165 0.4330 0.1499
Tb: 0.0748 0.1496 0.7240
Tb: 0.9252 0.8504 0.2760

Summary:
E_tot	-29.07	eV per cell
SG	No. 12
formation enthalpy at 0 K	-0.20	eV per atom

---

[2]
An optimized crystal structure of TbEr7Tl5. Source: the Alexandria database, functional GGA-PBE.

a = 6.4604 Å, b = 8.2870 Å, c = 8.2870 Å
α = 81.67°, β = 67.06°, γ = 67.06°
Element x y z (fractional)
Tl: 0.0076 0.0041 0.4802
Tl: 0.7369 0.7631 0.7631
Tl: 0.5080 0.4802 0.0041
Tl: 0.0076 0.4802 0.0041
Tl: 0.5080 0.0041 0.4802
Er: 0.2729 0.2271 0.2271
Er: 0.3207 0.6793 0.6793
Er: 0.5138 0.7920 0.1804
Er: 0.9979 0.3439 0.6602
Er: 0.5138 0.1804 0.7920
Er: 0.6363 0.3637 0.3637
Er: 0.9979 0.6602 0.3439
Tb: 0.9784 0.0216 0.0216

Summary:
E_tot	-50.03	eV per cell
SG	No. 44
formation enthalpy at 0 K	-0.13	eV per atom

---

[3]
An optimized crystal structure of Tb4Er4Tl. Source: the Alexandria database, functional GGA-PBE.

a = 4.8760 Å, b = 7.8640 Å, c = 7.8640 Å
α = 84.48°, β = 71.94°, γ = 71.94°
Element x y z (fractional)
Tb: 0.3375 0.0000 0.3250
Tb: 0.3375 0.3250 0.0000
Tb: 0.6625 0.0000 0.6750
Tb: 0.6625 0.6750 0.0000
Er: 0.0000 0.6637 0.3362
Er: 0.6637 0.3362 0.3363
Er: 0.3363 0.6638 0.6637
Er: 0.0000 0.3363 0.6638
Tl: 0.0000 0.0000 0.0000

Summary:
E_tot	-39.48	eV per cell
SG	No. 139
formation enthalpy at 0 K	-0.04	eV per atom

---

[4]
An optimized crystal structure of TbEr3Tl4. Source: the Alexandria database, functional GGA-PBE.

a = 6.5151 Å, b = 6.4780 Å, c = 10.6043 Å
α = 90.00°, β = 90.00°, γ = 90.00°
Element x y z (fractional)
Er: 0.0638 0.7529 0.7503
Er: 0.7482 0.9560 0.0000
Er: 0.5638 0.2471 0.2503
Er: 0.0638 0.7529 0.2497
Er: 0.5638 0.2471 0.7497
Er: 0.2482 0.0440 0.5000
Tl: 0.8743 0.5180 0.5000
Tl: 0.2551 0.9830 0.0000
Tl: 0.0644 0.2524 0.2526
Tl: 0.0644 0.2524 0.7474
Tl: 0.3743 0.4820 0.0000
Tl: 0.5644 0.7476 0.7526
Tl: 0.5644 0.7476 0.2474
Tl: 0.7551 0.0170 0.5000
Tb: 0.8814 0.4545 0.0000
Tb: 0.3814 0.5455 0.5000

Summary:
E_tot	-58.71	eV per cell
SG	No. 31
formation enthalpy at 0 K	-0.20	eV per atom

---

[5]
An optimized crystal structure of TbEr3Tl4. Source: the Alexandria database, functional GGA-PBE.

a = 5.3773 Å, b = 7.4620 Å, c = 10.7559 Å
α = 90.00°, β = 90.00°, γ = 90.00°
Element x y z (fractional)
Er: 0.5008 0.0000 0.2500
Er: 0.4991 0.5000 0.7500
Er: 0.0000 0.0000 0.0000
Er: 0.5009 0.5000 0.2500
Er: 0.0000 0.0000 0.5000
Er: 0.4992 0.0000 0.7500
Tl: 0.9989 0.7522 0.7500
Tl: 0.0011 0.2478 0.2500
Tl: 0.0011 0.7522 0.2500
Tl: 0.9989 0.2478 0.7500
Tl: 0.5000 0.7522 0.0000
Tl: 0.5000 0.2478 0.5000
Tl: 0.5000 0.7522 0.5000
Tl: 0.5000 0.2478 0.0000
Tb: 0.0000 0.5000 0.5000
Tb: 0.0000 0.5000 0.0000

Summary:
E_tot	-60.73	eV per cell
SG	No. 51
formation enthalpy at 0 K	-0.32	eV per atom

---

[6]
An optimized crystal structure of Tb4ErTl. Source: the Alexandria database, functional GGA-PBE.

a = 6.4578 Å, b = 8.9989 Å, c = 8.2753 Å
α = 112.67°, β = 99.76°, γ = 113.94°
Element x y z (fractional)
Tb: 0.7544 0.7135 0.6190
Tb: 0.6353 0.0945 0.3810
Tb: 0.0426 0.1619 0.7510
Tb: 0.2456 0.2865 0.3810
Tb: 0.2084 0.5891 0.7510
Tb: 0.7916 0.4109 0.2490
Tb: 0.3647 0.9055 0.6190
Tb: 0.9574 0.8381 0.2490
Er: 0.3395 0.5895 0.1789
Er: 0.6605 0.4105 0.8211
Tl: 0.7500 0.0000 0.0000
Tl: 0.2500 0.0000 0.0000

Summary:
E_tot	-51.10	eV per cell
SG	No. 15
formation enthalpy at 0 K	-0.02	eV per atom

---

In states/eV/atom, the DOS(E_F) values for the records above are, in order, 0.88, 1.22, 1.53, 0.81, 0.75, 1.21.
In μB/atom, the magnetization values for the records above are, in order, 0.00, 0.05, 0.00, 0.00, 0.00, 0.00.